The following is a DFT calculation (PBE-GGA) of a geometry-optimized Li2TcTeN structure.

Geometry as POSCAR:
```
Li2TcTeN
1.0
-1.255 -1.113 -3.520
2.150 -4.274 0.585
-3.257 -1.418 1.610
Te Li Tc N
1 2 1 1
direct
0.000 0.500 0.000 Te
0.000 0.000 0.500 Li
0.500 0.000 0.000 Li
0.500 0.500 0.500 Tc
0.000 0.000 0.000 N
```

Summary:
* SG: P4/mmm, No. 123
* raw total energy: -4.7287 eV/atom
* total moment: 2.21 μB per cell
* crystal system: tetragonal
* calculated density: 5.74 g/cm³
* formation energy (no corrections): 0.403 eV per atom

=====

The following is a DFT calculation (PBE-GGA) of a geometry-optimized BaW2Au structure.

Geometry as POSCAR:
```
BaW2Au
1.0
5.321 0.000 0.000
0.000 4.105 0.000
0.000 0.000 4.105
Au Ba W
1 1 2
direct
0.500 0.500 0.000 Au
0.500 0.000 0.500 Ba
0.000 0.000 0.000 W
0.000 0.500 0.500 W
```

Summary:
* formation enthalpy at 0 K: 136 kJ/mol of atoms
* SG: P4/mmm, No. 123
* raw total energy: -6.3669 eV/atom
* total moment: 0.57 μB per cell
* crystal system: tetragonal
* calculated density: 13.00 g/cm³

=====

Number 1: E above lowest polymorph 0 meV per atom. Number 2: E above lowest polymorph 895 meV per atom.